[1]
Density functional theory data (GGA-PBE) for a relaxed La3Pr6Sm crystal.

The structure in POSCAR format:
```
La3Pr6Sm
1.0
6.5616 0.0000 0.0000
0.0000 11.2192 -1.7535
0.0000 -4.2128 10.5450
La Pr Sm
6 12 2
Direct
0.9640 0.0556 0.2909
0.4640 0.2909 0.0556
0.4640 0.9444 0.7091
0.9640 0.7091 0.9444
0.0844 0.3831 0.6169
0.5844 0.6169 0.3831
0.5584 0.2880 0.3710
0.1436 0.7188 0.2812
0.0584 0.3710 0.2880
0.3721 0.5289 0.9457
0.8721 0.9457 0.5289
0.8639 0.0330 0.9670
0.8721 0.4711 0.0543
0.3639 0.9670 0.0330
0.5584 0.6290 0.7120
0.3721 0.0543 0.4711
0.6436 0.2812 0.7188
0.0584 0.7120 0.6290
0.1044 0.1891 0.8109
0.6044 0.8109 0.1891
```

## Properties
SG: Cmc2_1, No. 36
Calculated volume, A^3/atom: 36.39
Energy relative to the elements, eV per atom: 0.12
Density, g/cm³: 6.45

[2]
Density functional theory data (GGA-PBE) for a relaxed La2Pr12Sm crystal.

The structure in POSCAR format:
```
La2Pr12Sm
1.0
6.7004 0.0000 0.0000
0.0000 6.7004 0.0000
0.0000 0.0000 25.7420
La Pr Sm
4 24 2
Direct
0.5000 0.0000 0.7351
0.5000 0.0000 0.2649
0.0000 0.5000 0.7351
0.0000 0.5000 0.2649
0.5000 0.5000 0.6619
0.6679 0.8321 0.5618
0.5000 0.5000 0.2145
0.0000 0.0000 0.3381
0.0000 0.0000 0.2145
0.1679 0.6679 0.5618
0.5000 0.5000 0.3381
0.3121 0.1879 0.8873
0.1679 0.3321 0.4382
0.8121 0.6879 0.1127
0.3121 0.8121 0.1127
0.1879 0.3121 0.1127
0.3321 0.8321 0.4382
0.8321 0.3321 0.5618
0.6879 0.1879 0.1127
0.8321 0.6679 0.4382
0.5000 0.5000 0.7855
0.8121 0.3121 0.8873
0.6879 0.8121 0.8873
0.3321 0.1679 0.5618
0.6679 0.1679 0.4382
0.0000 0.0000 0.7855
0.1879 0.6879 0.8873
0.0000 0.0000 0.6619
0.5000 0.0000 0.0000
0.0000 0.5000 0.0000
```

## Properties
SG: P4/nbm, No. 125
Calculated volume, A^3/atom: 38.52
Energy relative to the elements, eV per atom: 0.29
Density, g/cm³: 6.09

[3]
Density functional theory data (GGA-PBE) for a relaxed La3Pr7Sm crystal.

The structure in POSCAR format:
```
La3Pr7Sm
1.0
-3.6790 -3.7743 3.9543
2.2188 -6.7761 -3.5290
6.0828 -1.8251 4.7917
Pr La Sm
7 3 1
Direct
0.2137 0.7627 0.7627
0.7863 0.2373 0.2373
0.2618 0.0831 0.4293
0.7382 0.9169 0.5707
0.7382 0.5707 0.9169
0.0000 0.5000 0.5000
0.2618 0.4293 0.0831
0.5000 0.0000 0.0000
0.0000 0.1739 0.8261
0.0000 0.8261 0.1739
0.5000 0.5000 0.5000
```

## Properties
SG: C2/m, No. 12
Calculated volume, A^3/atom: 37.39
Energy relative to the elements, eV per atom: 0.20
Density, g/cm³: 6.27
Energy relative to the lowest polymorph listed for this composition, eV/atom: 0.000

[4]
Density functional theory data (GGA-PBE) for a relaxed La3PrSm crystal.

The structure in POSCAR format:
```
La3PrSm
1.0
-0.1023 -5.5862 -3.6960
3.2350 -6.3408 9.7798
-5.2378 4.1898 -0.0648
Sm Pr La
2 2 6
Direct
0.7060 0.1857 0.2510
0.2940 0.8143 0.7490
0.0000 0.0000 0.0000
0.0000 0.5000 0.0000
0.5230 0.1879 0.6637
0.8799 0.8122 0.1534
0.3020 0.4614 0.6151
0.6980 0.5386 0.3849
0.1201 0.1878 0.8466
0.4770 0.8121 0.3363
```

## Properties
SG: P-1, No. 2
Calculated volume, A^3/atom: 36.18
Energy relative to the elements, eV per atom: 0.12
Density, g/cm³: 6.50
Energy relative to the lowest polymorph listed for this composition, eV/atom: 0.000

[5]
Density functional theory data (GGA-PBE) for a relaxed La2Pr3Sm8 crystal.

The structure in POSCAR format:
```
La2Pr3Sm8
1.0
-1.4890 -1.0301 -5.4622
0.0850 -7.6347 1.4166
-10.2250 4.2082 2.0096
Sm La Pr
8 2 3
Direct
0.5005 0.3964 0.2114
0.9981 0.3344 0.6689
0.4995 0.1849 0.7886
0.0019 0.6656 0.3311
0.9989 0.1314 0.2628
0.5005 0.8151 0.2114
0.0011 0.8686 0.7372
0.4995 0.6036 0.7886
0.5033 0.7570 0.5141
0.4967 0.2430 0.4859
0.0000 0.7088 0.0000
0.0000 0.2912 0.0000
0.5000 0.0000 0.0000
```

## Properties
SG: C2/m, No. 12
Calculated volume, A^3/atom: 36.25
Energy relative to the elements, eV per atom: 0.23
Density, g/cm³: 6.71
Energy relative to the lowest polymorph listed for this composition, eV/atom: 0.077

[6]
Density functional theory data (GGA-PBE) for a relaxed La3Pr4Sm8 crystal.

The structure in POSCAR format:
```
La3Pr4Sm8
1.0
-1.2357 -1.0193 -6.7846
1.3150 -8.2073 4.5859
-8.0642 0.9332 4.9210
Pr La Sm
4 3 8
Direct
0.5000 0.0000 0.0000
0.0000 0.0000 0.0000
0.0000 0.5000 0.0000
0.0000 0.0000 0.5000
0.5000 0.5000 0.0000
0.5000 0.5000 0.5000
0.5000 0.0000 0.5000
0.5000 0.7399 0.2601
0.0016 0.2678 0.2678
0.5288 0.2685 0.2685
0.0000 0.3564 0.6436
0.4712 0.7315 0.7315
0.5000 0.2601 0.7399
0.9984 0.7322 0.7322
0.0000 0.6436 0.3564
```

## Properties
SG: C2/m, No. 12
Calculated volume, A^3/atom: 36.01
Energy relative to the elements, eV per atom: 0.32
Density, g/cm³: 6.71

[7]
Density functional theory data (GGA-PBE) for a relaxed La6Pr8Sm crystal.

The structure in POSCAR format:
```
La6Pr8Sm
1.0
-6.4578 -0.3927 -0.2890
-3.1410 -4.3860 3.5831
-4.3069 8.3620 12.3131
La Pr Sm
6 8 1
Direct
0.9335 0.6008 0.1997
0.7341 0.0665 0.8003
0.2659 0.9335 0.1997
0.0665 0.3992 0.8003
0.6008 0.2659 0.1997
0.3992 0.7341 0.8003
0.4669 0.1334 0.5999
0.3333 0.3333 0.0000
0.7998 0.4669 0.5999
0.8666 0.2002 0.4001
0.2002 0.5331 0.4001
0.6667 0.6667 0.0000
0.1334 0.7998 0.5999
0.5331 0.8666 0.4001
0.0000 0.0000 0.0000
```

## Properties
SG: R-3, No. 148
Calculated volume, A^3/atom: 36.41
Energy relative to the elements, eV per atom: 0.00
Density, g/cm³: 6.42
Energy relative to the lowest polymorph listed for this composition, eV/atom: 0.000

[8]
Density functional theory data (GGA-PBE) for a relaxed LaPr5Sm3 crystal.

The structure in POSCAR format:
```
LaPr5Sm3
1.0
8.1068 -1.1429 0.6774
1.1200 8.1100 0.6774
3.2683 2.4679 11.2621
Sm Pr La
6 10 2
Direct
0.0000 0.0000 0.0000
0.2076 0.2076 0.6546
0.7924 0.7924 0.3454
0.6210 0.6210 0.8432
0.3790 0.3790 0.1568
0.0000 0.0000 0.5000
0.9669 0.4379 0.3572
0.3080 0.3080 0.9039
0.5317 0.5317 0.6172
0.7420 0.2580 0.0000
0.5621 0.0331 0.6428
0.4683 0.4683 0.3828
0.2580 0.7420 0.0000
0.4379 0.9669 0.3572
0.6920 0.6920 0.0961
0.0331 0.5621 0.6428
0.0888 0.0888 0.2050
0.9112 0.9112 0.7950
```

## Properties
SG: C2/m, No. 12
Calculated volume, A^3/atom: 40.15
Energy relative to the elements, eV per atom: 0.52
Density, g/cm³: 5.95
Energy relative to the lowest polymorph listed for this composition, eV/atom: 0.264

[9]
Density functional theory data (GGA-PBE) for a relaxed La8Pr4Sm3 crystal.

The structure in POSCAR format:
```
La8Pr4Sm3
1.0
6.3063 0.0000 3.4013
2.2360 5.8966 3.4013
-2.7118 -1.8719 12.5757
Pr La Sm
4 8 3
Direct
0.6652 0.6652 0.0043
0.5000 0.5000 0.5000
0.0000 0.0000 0.0000
0.3348 0.3348 0.9957
0.2515 0.7489 0.2507
0.7485 0.2511 0.7493
0.7533 0.7533 0.7401
0.7489 0.7489 0.2507
0.2511 0.7485 0.7493
0.2511 0.2511 0.7493
0.2467 0.2467 0.2599
0.7489 0.2515 0.2507
0.0000 0.0000 0.5000
0.5000 0.0000 0.5000
0.0000 0.5000 0.5000
```

## Properties
SG: R-3m, No. 166
Calculated volume, A^3/atom: 36.53
Energy relative to the elements, eV per atom: 0.11
Density, g/cm³: 6.44

[10]
Density functional theory data (GGA-PBE) for a relaxed La5Pr5Sm2 crystal.

The structure in POSCAR format:
```
La5Pr5Sm2
1.0
5.1252 0.0000 1.1563
2.7323 10.7753 -0.1742
0.8534 -1.3736 8.1543
La Pr Sm
5 5 2
Direct
0.6656 0.2519 0.4170
0.0000 0.0000 0.0000
0.0025 0.7479 0.2472
0.3344 0.7481 0.5830
0.9975 0.2521 0.7528
0.3319 0.2529 0.0832
0.0000 0.5000 0.5000
0.3327 0.0003 0.3342
0.6673 0.9997 0.6658
0.6681 0.7471 0.9168
0.6673 0.5000 0.1653
0.3327 0.5000 0.8347
```

## Properties
SG: C2/m, No. 12
Calculated volume, A^3/atom: 36.18
Energy relative to the elements, eV per atom: 0.01
Density, g/cm³: 6.50

[11]
Density functional theory data (GGA-PBE) for a relaxed La2Pr6Sm crystal.

The structure in POSCAR format:
```
La2Pr6Sm
1.0
5.8069 -3.0087 -1.1172
-1.5028 11.9829 1.5275
-4.9132 1.9126 10.9676
La Pr Sm
4 12 2
Direct
0.4747 0.2719 0.1540
0.9749 0.1534 0.2723
0.5253 0.7281 0.8460
0.0251 0.8466 0.7277
0.7272 0.3295 0.4793
0.8686 0.3104 0.9478
0.8300 0.8192 0.3995
0.2728 0.6705 0.5207
0.2270 0.4789 0.3290
0.6315 0.0525 0.6894
0.6694 0.6004 0.1801
0.1314 0.6896 0.0522
0.1700 0.1808 0.6005
0.7730 0.5211 0.6710
0.3306 0.3996 0.8199
0.3685 0.9475 0.3106
0.2501 0.0348 0.9654
0.7499 0.9652 0.0346
```

## Properties
SG: P-1, No. 2
Calculated volume, A^3/atom: 36.48
Energy relative to the elements, eV per atom: 0.09
Density, g/cm³: 6.44
Energy relative to the lowest polymorph listed for this composition, eV/atom: 0.000

[12]
Density functional theory data (GGA-PBE) for a relaxed La5PrSm8 crystal.

The structure in POSCAR format:
```
La5PrSm8
1.0
1.8035 12.1614 0.3491
-1.8035 12.1614 0.3491
0.0000 3.5261 11.3295
Sm La Pr
8 5 1
Direct
0.1383 0.1383 0.4472
0.0763 0.0763 0.2216
0.5592 0.5592 0.7272
0.9237 0.9237 0.7785
0.8619 0.8619 0.5527
0.4410 0.4410 0.2729
0.2833 0.2833 0.8408
0.7165 0.7165 0.1590
0.3598 0.3598 0.0547
0.2904 0.2904 0.3682
0.6399 0.6399 0.9454
0.9998 0.9998 0.0001
0.7097 0.7097 0.6317
0.5001 0.5001 0.5000
```

## Properties
SG: Cm, No. 8
Calculated volume, A^3/atom: 35.18
Energy relative to the elements, eV per atom: 0.06
Density, g/cm³: 6.87
Energy relative to the lowest polymorph listed for this composition, eV/atom: 0.000

[13]
Density functional theory data (GGA-PBE) for a relaxed La5Pr2Sm4 crystal.

The structure in POSCAR format:
```
La5Pr2Sm4
1.0
3.6003 0.0000 0.0000
0.0000 9.4953 0.0000
-1.8001 -4.7476 11.9439
Sm La Pr
4 5 2
Direct
0.4041 0.4041 0.8082
0.5959 0.5959 0.1918
0.0000 0.3073 0.0000
0.0000 0.6927 0.0000
0.1461 0.3455 0.2922
0.5000 0.0000 0.0000
0.1461 0.9467 0.2922
0.8539 0.0533 0.7078
0.8539 0.6545 0.7078
0.7315 0.7315 0.4629
0.2685 0.2685 0.5371
```

## Properties
SG: Immm, No. 71
Calculated volume, A^3/atom: 37.12
Energy relative to the elements, eV per atom: 0.17
Density, g/cm³: 6.42
Energy relative to the lowest polymorph listed for this composition, eV/atom: 0.148

[14]
Density functional theory data (GGA-PBE) for a relaxed La12Pr5Sm2 crystal.

The structure in POSCAR format:
```
La12Pr5Sm2
1.0
7.2134 0.0000 0.0000
-3.6067 10.1281 5.7771
0.0000 2.0952 10.6960
Sm La Pr
2 12 5
Direct
0.7281 0.0000 0.0000
0.2719 0.0000 0.0000
0.9145 0.3403 0.1942
0.5964 0.6770 0.4494
0.4259 0.3403 0.1942
0.0806 0.6770 0.4494
0.5741 0.6597 0.8058
0.4966 0.9931 0.3356
0.4036 0.3230 0.5506
0.9194 0.3230 0.5506
0.0855 0.6597 0.8058
0.5034 0.0069 0.6644
0.9689 0.9378 0.8104
0.0311 0.0622 0.1896
0.0000 0.0000 0.5000
0.8132 0.6263 0.1874
0.3307 0.6615 0.1266
0.1868 0.3737 0.8126
0.6693 0.3385 0.8734
```

## Properties
SG: C2/m, No. 12
Calculated volume, A^3/atom: 36.53
Energy relative to the elements, eV per atom: 0.14
Density, g/cm³: 6.39
Energy relative to the lowest polymorph listed for this composition, eV/atom: 0.065

[15]
Density functional theory data (GGA-PBE) for a relaxed La6PrSm2 crystal.

The structure in POSCAR format:
```
La6PrSm2
1.0
3.6612 0.0000 0.0000
0.0000 10.1535 0.0000
0.0000 -5.0767 8.7932
La Sm Pr
6 2 1
Direct
0.5000 0.0000 0.3558
0.0000 0.6883 0.0000
0.0000 0.3117 0.3117
0.0000 0.0000 0.6883
0.5000 0.6442 0.6442
0.5000 0.3558 0.0000
0.0000 0.6667 0.3333
0.0000 0.3333 0.6667
0.5000 0.0000 0.0000
```

## Properties
SG: P-62m, No. 189
Calculated volume, A^3/atom: 36.32
Energy relative to the elements, eV per atom: 0.02
Density, g/cm³: 6.48
Energy relative to the lowest polymorph listed for this composition, eV/atom: 0.000

[16]
Density functional theory data (GGA-PBE) for a relaxed LaPr8Sm2 crystal.

The structure in POSCAR format:
```
LaPr8Sm2
1.0
5.0650 0.0000 -1.3489
-0.5431 8.0156 -2.0392
-0.1049 -0.0835 9.7900
Pr La Sm
8 1 2
Direct
0.3178 0.0907 0.6357
0.1375 0.1850 0.2751
0.0461 0.7271 0.0922
0.9539 0.2729 0.9078
0.5919 0.4566 0.1839
0.4081 0.5434 0.8161
0.6822 0.9093 0.3643
0.8625 0.8150 0.7249
0.5000 0.0000 0.0000
0.7721 0.3642 0.5442
0.2279 0.6358 0.4558
```

## Properties
SG: C2/m, No. 12
Calculated volume, A^3/atom: 35.95
Energy relative to the elements, eV per atom: 0.01
Density, g/cm³: 6.58
Energy relative to the lowest polymorph listed for this composition, eV/atom: 0.000

[17]
Density functional theory data (GGA-PBE) for a relaxed LaPr12Sm2 crystal.

The structure in POSCAR format:
```
LaPr12Sm2
1.0
-6.4678 -0.9898 -1.1983
1.4384 -5.7548 -3.0101
-2.2966 -12.4270 22.6607
Sm Pr La
4 24 2
Direct
0.0000 0.5000 0.7294
0.0000 0.5000 0.2706
0.5000 0.0000 0.7294
0.5000 0.0000 0.2706
0.0000 0.0000 0.6616
0.1834 0.3166 0.1158
0.1680 0.6680 0.5619
0.5000 0.5000 0.2166
0.8320 0.6680 0.4381
0.8320 0.3320 0.5619
0.0000 0.0000 0.7834
0.3166 0.8166 0.1158
0.8166 0.3166 0.8842
0.6834 0.1834 0.1158
0.3320 0.1680 0.5619
0.1834 0.6834 0.8842
0.5000 0.5000 0.7834
0.1680 0.3320 0.4381
0.8166 0.6834 0.1158
0.0000 0.0000 0.3384
0.6680 0.8320 0.5619
0.5000 0.5000 0.6616
0.5000 0.5000 0.3384
0.6680 0.1680 0.4381
0.3166 0.1834 0.8842
0.6834 0.8166 0.8842
0.3320 0.8320 0.4381
0.0000 0.0000 0.2166
0.5000 0.0000 0.0000
0.0000 0.5000 0.0000
```

## Properties
SG: P4/nbm, No. 125
Calculated volume, A^3/atom: 38.27
Energy relative to the elements, eV per atom: 0.29
Density, g/cm³: 6.16